(1)
A relaxed structure of Ba2HgBi4Pd3, computed with PBE.

abc: 5.028 5.028 11.282
angles: 90.00 90.00 90.00
Fractional positions:
Ba: 0.500 0.000 0.254
Ba: 0.000 0.500 0.746
Hg: 0.500 0.500 0.500
Bi: 0.500 0.500 0.000
Bi: 0.000 0.000 0.000
Bi: 0.500 0.000 0.639
Bi: 0.000 0.500 0.361
Pd: 0.000 0.000 0.500
Pd: 0.500 0.000 0.883
Pd: 0.000 0.500 0.117

Magnetization, μB/atom: 0.0000
Energy of formation, eV per formula unit: -5.67
Total DFT energy (no corrections), eV per formula unit: -40.92


(2)
A relaxed structure of Ba2HgBiPd6, computed with PBE.

abc: 5.726 9.274 7.259
angles: 49.43 66.77 90.00
Fractional positions:
Ba: 0.739 0.276 0.521
Ba: 0.261 0.724 0.479
Hg: 0.000 0.000 0.000
Bi: 0.500 0.500 0.000
Pd: 0.247 0.084 0.504
Pd: 0.773 0.757 0.971
Pd: 0.257 0.758 0.970
Pd: 0.743 0.242 0.030
Pd: 0.227 0.243 0.029
Pd: 0.753 0.916 0.496

Magnetization, μB/atom: 0.0000
Energy of formation, eV per formula unit: -4.42
Total DFT energy (no corrections), eV per formula unit: -43.61


(3)
A relaxed structure of BaHg2BiPd, computed with PBE.

abc: 5.299 5.299 5.595
angles: 90.00 90.00 90.00
Fractional positions:
Ba: 0.500 0.500 0.500
Bi: 0.000 0.000 0.500
Pd: 0.000 0.000 0.000
Hg: 0.000 0.500 0.000
Hg: 0.500 0.000 0.000

Magnetization, μB/atom: 0.0000
Energy of formation, eV per formula unit: -1.89
Total DFT energy (no corrections), eV per formula unit: -13.49


(4)
A relaxed structure of BaPmHgBi, computed with PBE.

abc: 5.748 5.748 5.748
angles: 60.00 60.00 60.00
Fractional positions:
Ba: 0.500 0.500 0.500
Pm: 0.000 0.000 0.000
Bi: 0.250 0.250 0.250
Hg: 0.750 0.750 0.750

Magnetization, μB/atom: 0.0000
Energy of formation, eV per formula unit: -2.11
Total DFT energy (no corrections), eV per formula unit: -12.97


(5)
A relaxed structure of Ba2Hg4Bi2Pt, computed with PBE.

abc: 7.306 7.306 7.306
angles: 88.25 121.02 121.02
Fractional positions:
Ba: 0.500 0.750 0.250
Ba: 0.500 0.250 0.750
Hg: 0.000 0.729 0.271
Hg: 0.458 0.729 0.729
Hg: 0.000 0.271 0.729
Hg: 0.542 0.271 0.271
Bi: 0.000 0.723 0.723
Bi: 0.000 0.277 0.277
Pt: 0.000 0.000 0.000

Magnetization, μB/atom: 0.0000
Energy of formation, eV per formula unit: -3.95
Total DFT energy (no corrections), eV per formula unit: -22.81


(6)
A relaxed structure of Ba2Hg6BiPt, computed with PBE.

abc: 8.111 7.833 10.106
angles: 90.00 90.00 90.00
Fractional positions:
Ba: 0.500 0.744 0.286
Ba: 0.000 0.256 0.786
Ba: 0.500 0.744 0.714
Ba: 0.000 0.256 0.214
Hg: 0.500 0.196 0.243
Hg: 0.500 0.196 0.757
Hg: 0.000 0.804 0.257
Hg: 0.000 0.804 0.743
Hg: 0.175 0.989 0.500
Hg: 0.825 0.989 0.500
Hg: 0.319 0.383 0.500
Hg: 0.681 0.383 0.500
Hg: 0.819 0.617 0.000
Hg: 0.181 0.617 0.000
Hg: 0.325 0.011 0.000
Hg: 0.675 0.011 0.000
Bi: 0.000 0.566 0.500
Bi: 0.500 0.434 0.000
Pt: 0.500 0.058 0.500
Pt: 0.000 0.942 0.000

Magnetization, μB/atom: 0.0000
Energy of formation, eV per formula unit: -3.11
Total DFT energy (no corrections), eV per formula unit: -18.69